Record 1
Crystalline BaAcPdO4 at its relaxed geometry. Source: Alexandria, functional PBE-GGA.

Unit cell a=4.172 b=4.172 c=12.899 alpha=90.00 beta=90.00 gamma=90.00
Positions (direct):
Ba: 0.000 0.000 0.000
Ba: 0.500 0.500 0.500
Ac: 0.000 0.000 0.722
Ac: 0.500 0.500 0.222
Pd: 0.000 0.000 0.362
Pd: 0.500 0.500 0.862
O: 0.000 0.000 0.199
O: 0.000 0.000 0.531
O: 0.000 0.500 0.346
O: 0.000 0.500 0.846
O: 0.500 0.000 0.346
O: 0.500 0.000 0.846
O: 0.500 0.500 0.031
O: 0.500 0.500 0.699

## Properties
E_form (uncorrected) in eV/atom: -2.10
Crystal system: tetragonal

Record 2
Crystalline CeNdPt2 at its relaxed geometry. Source: Alexandria, functional PBE-GGA.

Unit cell a=4.150 b=4.150 c=20.537 alpha=90.00 beta=90.00 gamma=120.00
Positions (direct):
Ce: 0.000 0.000 0.000
Ce: 0.333 0.667 0.667
Ce: 0.667 0.333 0.333
Nd: 0.000 0.000 0.500
Nd: 0.333 0.667 0.167
Nd: 0.667 0.333 0.833
Pt: 0.000 0.000 0.254
Pt: 0.000 0.000 0.746
Pt: 0.333 0.667 0.413
Pt: 0.333 0.667 0.921
Pt: 0.667 0.333 0.079
Pt: 0.667 0.333 0.587

## Properties
Energy of formation from the pure elements in eV/atom: -1.064
Crystal system: trigonal

Record 3
Crystalline ErTaO4 at its relaxed geometry. Source: Alexandria, functional PBE-GGA.

Unit cell a=5.880 b=4.969 c=5.815 alpha=90.00 beta=111.01 gamma=90.00
Positions (direct):
Er: 0.000 0.000 0.000
Er: 0.000 0.500 0.500
Ta: 0.500 0.000 0.500
Ta: 0.500 0.500 0.000
O: 0.175 0.164 0.378
O: 0.175 0.336 0.878
O: 0.376 0.712 0.680
O: 0.376 0.788 0.180
O: 0.624 0.212 0.820
O: 0.624 0.288 0.320
O: 0.825 0.664 0.122
O: 0.825 0.836 0.622

## Properties
E_form (uncorrected) in eV/atom: -3.22
Crystal system: monoclinic

Record 4
Crystalline SbPb3 at its relaxed geometry. Source: Alexandria, functional PBE-GGA.

Unit cell a=6.930 b=17.210 c=6.215 alpha=90.00 beta=90.00 gamma=90.00
Positions (direct):
Sb: 0.250 0.083 0.147
Sb: 0.250 0.417 0.147
Sb: 0.250 0.750 0.536
Sb: 0.750 0.250 0.464
Sb: 0.750 0.583 0.853
Sb: 0.750 0.917 0.853
Pb: 0.000 0.084 0.646
Pb: 0.000 0.250 0.975
Pb: 0.000 0.416 0.646
Pb: 0.000 0.584 0.354
Pb: 0.000 0.750 0.025
Pb: 0.000 0.916 0.354
Pb: 0.250 0.250 0.466
Pb: 0.250 0.580 0.855
Pb: 0.250 0.920 0.855
Pb: 0.500 0.084 0.646
Pb: 0.500 0.250 0.975
Pb: 0.500 0.416 0.646
Pb: 0.500 0.584 0.354
Pb: 0.500 0.750 0.025
Pb: 0.500 0.916 0.354
Pb: 0.750 0.080 0.145
Pb: 0.750 0.420 0.145
Pb: 0.750 0.750 0.534

## Properties
E_form (uncorrected) in eV/atom: 0.05
Crystal system: orthorhombic

Record 5
Crystalline TlCr2Co at its relaxed geometry. Source: Alexandria, functional PBE-GGA.

Unit cell a=2.973 b=2.973 c=25.025 alpha=90.00 beta=90.00 gamma=120.00
Positions (direct):
Tl: 0.000 0.000 0.000
Tl: 0.333 0.667 0.667
Tl: 0.667 0.333 0.333
Cr: 0.000 0.000 0.238
Cr: 0.000 0.000 0.762
Cr: 0.333 0.667 0.429
Cr: 0.333 0.667 0.904
Cr: 0.667 0.333 0.096
Cr: 0.667 0.333 0.571
Co: 0.000 0.000 0.500
Co: 0.333 0.667 0.167
Co: 0.667 0.333 0.833

## Properties
Energy of formation from the pure elements in eV/atom: 0.778
Crystal system: trigonal

Record 6
Crystalline BeTc2 at its relaxed geometry. Source: Alexandria, functional PBE-GGA.

Unit cell a=9.313 b=2.904 c=5.952 alpha=90.00 beta=110.37 gamma=90.00
Positions (direct):
Be: 0.190 0.000 0.077
Be: 0.310 0.500 0.923
Be: 0.690 0.500 0.077
Be: 0.810 0.000 0.923
Tc: 0.009 0.500 0.216
Tc: 0.159 0.000 0.594
Tc: 0.341 0.500 0.406
Tc: 0.491 0.000 0.784
Tc: 0.509 0.000 0.216
Tc: 0.659 0.500 0.594
Tc: 0.841 0.000 0.406
Tc: 0.991 0.500 0.784

## Properties
Energy of formation from the pure elements in eV/atom: -0.067
Crystal system: monoclinic

Record 7
Crystalline Ho7TmHg4 at its relaxed geometry. Source: Alexandria, functional PBE-GGA.

Unit cell a=7.793 b=7.793 c=9.696 alpha=119.81 beta=119.81 gamma=42.55
Positions (direct):
Ho: 0.000 0.000 0.000
Ho: 0.234 0.234 0.687
Ho: 0.291 0.291 0.115
Ho: 0.433 0.433 0.595
Ho: 0.567 0.567 0.405
Ho: 0.709 0.709 0.885
Ho: 0.766 0.766 0.313
Tm: 0.500 0.500 0.000
Hg: 0.047 0.047 0.726
Hg: 0.188 0.188 0.340
Hg: 0.812 0.812 0.660
Hg: 0.953 0.953 0.274

## Properties
Energy of formation from the pure elements in eV/atom: -0.092
Crystal system: monoclinic

Record 8
Crystalline CeFeMoC3 at its relaxed geometry. Source: Alexandria, functional PBE-GGA.

Unit cell a=6.825 b=3.219 c=7.384 alpha=90.00 beta=105.81 gamma=90.00
Positions (direct):
Ce: 0.192 0.250 0.209
Ce: 0.808 0.750 0.791
Fe: 0.102 0.250 0.606
Fe: 0.898 0.750 0.394
Mo: 0.343 0.750 0.865
Mo: 0.657 0.250 0.135
C: 0.124 0.250 0.864
C: 0.182 0.750 0.526
C: 0.440 0.750 0.156
C: 0.560 0.250 0.844
C: 0.818 0.250 0.474
C: 0.876 0.750 0.136

## Properties
Energy of formation from the pure elements in eV/atom: 0.035
Crystal system: monoclinic

Record 9
Crystalline BaInHPb2 at its relaxed geometry. Source: Alexandria, functional PBE-GGA.

Unit cell a=5.139 b=5.139 c=5.205 alpha=90.00 beta=90.00 gamma=90.00
Positions (direct):
Ba: 0.000 0.000 0.000
In: 0.500 0.500 0.000
H: 0.000 0.000 0.500
Pb: 0.000 0.500 0.500
Pb: 0.500 0.000 0.500

## Properties
Crystal system: tetragonal

Record 10
Crystalline Nd8DyCd2 at its relaxed geometry. Source: Alexandria, functional PBE-GGA.

Unit cell a=8.965 b=8.965 c=5.782 alpha=101.30 beta=101.30 gamma=119.89
Positions (direct):
Nd: 0.093 0.317 0.611
Nd: 0.220 0.780 0.000
Nd: 0.317 0.093 0.611
Nd: 0.401 0.401 0.202
Nd: 0.599 0.599 0.798
Nd: 0.683 0.907 0.389
Nd: 0.780 0.220 0.000
Nd: 0.907 0.683 0.389
Dy: 0.000 0.000 0.000
Cd: 0.306 0.694 0.500
Cd: 0.694 0.306 0.500

## Properties
Energy of formation from the pure elements in eV/atom: 0.011
Crystal system: monoclinic

Record 11
Crystalline ZnRe2Hg at its relaxed geometry. Source: Alexandria, functional PBE-GGA.

Unit cell a=2.900 b=3.793 c=6.001 alpha=90.00 beta=90.00 gamma=90.00
Positions (direct):
Zn: 0.000 0.000 0.000
Re: 0.000 0.000 0.557
Re: 0.500 0.500 0.742
Hg: 0.500 0.500 0.247

## Properties
Energy of formation from the pure elements in eV/atom: 0.435
Crystal system: orthorhombic

Record 12
Crystalline Cu2AuI at its relaxed geometry. Source: Alexandria, functional PBE-GGA.

Unit cell a=6.661 b=6.661 c=6.661 alpha=90.00 beta=90.00 gamma=90.00
Positions (direct):
Cu: 0.250 0.250 0.250
Cu: 0.250 0.250 0.750
Cu: 0.250 0.750 0.250
Cu: 0.250 0.750 0.750
Cu: 0.750 0.250 0.250
Cu: 0.750 0.250 0.750
Cu: 0.750 0.750 0.250
Cu: 0.750 0.750 0.750
Au: 0.000 0.000 0.000
Au: 0.000 0.500 0.500
Au: 0.500 0.000 0.500
Au: 0.500 0.500 0.000
I: 0.000 0.000 0.500
I: 0.000 0.500 0.000
I: 0.500 0.000 0.000
I: 0.500 0.500 0.500

## Properties
E_form (uncorrected) in eV/atom: 0.47
Crystal system: cubic

Size of the total moment (computed, μB per formula unit): 0.00 0.33 0.00 0.00 6.53 0.00 0.00 0.00 0.00 0.00 0.00 0.00
Raw total energy (computed, eV/atom): -6.540 -6.760 -9.265 -3.764 -6.402 -8.219 -3.235 -8.781 -3.226 -4.041 -6.183 -2.787